The following is a GGA-PBE calculation of AgSbPO2 after structural relaxation, from Alexandria.

Lattice parameters (Å, degrees): 3.8841 3.8841 5.4920 90.00 90.00 90.00
Closest atoms and distances in Å follow each position.
Fractional positions:
Ag  0.0000  0.0000  0.0000  4 P 2.75
Sb  0.5000  0.5000  0.5000  4 O 1.94
P  0.5000  0.5000  0.0000  2 Sb 2.75, 4 Ag 2.75
O  0.0000  0.5000  0.5000  2 Sb 1.94
O  0.5000  0.0000  0.5000  2 Sb 1.94

Properties
total magnetization	0.00	μB per formula unit
E_form (uncorrected)	-282	meV/atom
Fermi-level density of states	0.148	states/eV/atom



The following is a GGA-PBE calculation of CeIrSe after structural relaxation, from Alexandria.

Lattice parameters (Å, degrees): 6.1351 6.1351 5.5391 90.00 90.00 141.17
Closest atoms and distances in Å follow each position.
Fractional positions:
Ce  0.1193  0.8807  0.7500  2 Ir 2.75, 4 Se 2.88-3.03
Ce  0.8807  0.1193  0.2500  2 Ir 2.75, 4 Se 2.88-3.03
Ir  0.4602  0.5398  0.7500  2 Se 2.65, 2 Ce 2.75, 2 Ir 2.92
Ir  0.5398  0.4602  0.2500  2 Se 2.65, 2 Ce 2.75, 2 Ir 2.92
Se  0.1867  0.8133  0.2500  2 Ir 2.65, 2 Ce 2.88
Se  0.8133  0.1867  0.7500  2 Ir 2.65, 2 Ce 2.88

Properties
total magnetization	0.00	μB per formula unit
E_form (uncorrected)	-912	meV/atom
Fermi-level density of states	1.350	states/eV/atom



The following is a GGA-PBE calculation of Pm2CdAu3 after structural relaxation, from Alexandria.

Lattice parameters (Å, degrees): 5.1201 5.1201 12.4160 90.00 90.00 120.00
Closest atoms and distances in Å follow each position.
Fractional positions:
Pm  0.0000  0.0000  0.0000  8 Au 3.07
Pm  0.0000  0.0000  0.5000  8 Au 3.07-3.14
Pm  0.3333  0.6667  0.1881  8 Au 3.03-3.31
Pm  0.6667  0.3333  0.8119  8 Au 3.03-3.31
Cd  0.3333  0.6667  0.6693  8 Au 2.95-3.27
Cd  0.6667  0.3333  0.3307  8 Au 2.95-3.27
Au  0.0000  0.0000  0.2472  5 Pm 3.05-3.14, 3 Cd 3.13
Au  0.0000  0.0000  0.7528  5 Pm 3.05-3.14, 3 Cd 3.13
Au  0.3333  0.6667  0.4320  4 Cd 2.95-3.21, 4 Pm 3.03-3.07
Au  0.3333  0.6667  0.9323  7 Pm 3.07-3.31, 1 Cd 3.27, 3 Au 3.40
Au  0.6667  0.3333  0.0677  7 Pm 3.07-3.31, 1 Cd 3.27, 3 Au 3.40
Au  0.6667  0.3333  0.5680  4 Cd 2.95-3.21, 4 Pm 3.03-3.07

Properties
total magnetization	0.00	μB per formula unit
Fermi-level density of states	0.602	states/eV/atom
formation enthalpy at 0 K	-701	meV per atom



The following is a GGA-PBE calculation of FeTcAg2 after structural relaxation, from Alexandria.

Lattice parameters (Å, degrees): 2.6638 2.6638 8.7500 90.00 90.00 90.00
Closest atoms and distances in Å follow each position.
Fractional positions:
Fe  0.0000  0.0000  0.0000  4 Fe 2.66, 8 Ag 2.82
Tc  0.0000  0.0000  0.5000  4 Tc 2.66, 8 Ag 2.95
Ag  0.5000  0.5000  0.2402  4 Ag 2.66, 4 Fe 2.82, 4 Tc 2.95
Ag  0.5000  0.5000  0.7598  4 Ag 2.66, 4 Fe 2.82, 4 Tc 2.95

Properties
total magnetization	2.90	μB per formula unit
Fermi-level density of states	1.014	states/eV/atom
formation enthalpy at 0 K	516	meV per atom